A geometry-optimized PrErMg2 structure, computed with GGA-PBE.

```
4
Lattice="-2.176 2.670 -1.801 -2.063 -3.828 -3.182 -3.960 -0.826 3.561" Properties=species:S:1:pos:R:3 pbc="T T T"
Er -1.088 1.335 -0.900
Pr -4.100 -0.992 -0.711
Mg -1.032 -1.914 -1.591
Mg -1.980 -0.413 1.780
```

Calculated values
* crystal system: tetragonal
* total DFT energy (no corrections): -0.2366 Ry per atom
* energy relative to the elements: -8.34 kJ/mol of atoms

A geometry-optimized Pr2ErMg structure, computed with GGA-PBE.

```
4
Lattice="3.745 0.000 0.000 0.000 3.745 0.000 0.000 0.000 9.062" Properties=species:S:1:pos:R:3 pbc="T T T"
Pr 0.000 0.000 6.955
Pr 0.000 0.000 2.107
Er 1.873 1.873 4.531
Mg 1.873 1.873 0.000
```

Calculated values
* crystal system: tetragonal
* total DFT energy (no corrections): -0.2909 Ry per atom
* energy relative to the elements: -2.81 kJ/mol of atoms

A geometry-optimized Pr8Er4Mg structure, computed with GGA-PBE.

```
13
Lattice="-5.108 -0.310 -5.071 -1.759 -0.813 6.938 2.580 10.461 1.880" Properties=species:S:1:pos:R:3 pbc="T T T"
Pr -3.350 2.716 3.209
Pr -0.936 6.622 0.539
Pr -0.752 2.276 5.736
Pr 0.151 2.693 2.173
Pr -1.953 6.796 4.041
Pr -2.334 2.542 -0.294
Pr -4.437 6.645 1.574
Pr -3.534 7.062 -1.989
Er -0.879 -0.407 3.469
Er -2.554 -0.155 -2.535
Er -3.433 -0.561 0.934
Er 0.000 0.000 0.000
Mg 0.410 4.824 4.409
```

Calculated values
* crystal system: trigonal
* total DFT energy (no corrections): -0.3167 Ry per atom
* energy relative to the elements: 15.37 kJ/mol of atoms

A geometry-optimized Pr12Er3Mg structure, computed with GGA-PBE.

```
16
Lattice="-5.013 1.047 0.527 -0.854 -1.677 -4.792 -3.226 -19.097 7.257" Properties=species:S:1:pos:R:3 pbc="T T T"
Er -2.424 -14.350 5.453
Er -1.613 -9.549 3.629
Er -0.802 -4.747 1.804
Pr -4.525 -11.425 4.804
Pr -3.714 -6.625 2.980
Pr -2.933 -0.315 -2.132
Pr -3.733 -5.048 -0.334
Pr -4.547 -9.863 1.496
Pr -5.334 -16.215 6.624
Pr -5.360 -14.678 3.326
Pr -1.635 -7.987 0.320
Pr -3.255 -17.577 3.965
Pr -2.446 -12.787 2.145
Pr -0.825 -3.197 -1.500
Pr -2.905 -1.835 1.160
Mg 0.000 0.000 0.000
```

Calculated values
* crystal system: tetragonal
* total DFT energy (no corrections): -0.3332 Ry per atom
* energy relative to the elements: 0.60 kJ/mol of atoms

A geometry-optimized Pr2ErMg structure, computed with GGA-PBE.

```
4
Lattice="3.517 0.000 0.000 1.758 3.046 0.000 1.758 1.015 12.541" Properties=species:S:1:pos:R:3 pbc="T T T"
Mg 0.000 0.000 0.000
Er 3.517 2.030 6.270
Pr 1.758 1.015 9.172
Pr 5.275 3.046 3.368
```

Calculated values
* crystal system: trigonal
* total DFT energy (no corrections): -0.2756 Ry per atom
* energy relative to the elements: 17.33 kJ/mol of atoms

A geometry-optimized PrEr3Mg3 structure, computed with GGA-PBE.

```
14
Lattice="-3.452 4.066 -1.387 3.117 -0.284 -8.589 -7.115 -5.202 2.458" Properties=species:S:1:pos:R:3 pbc="T T T"
Mg -2.478 0.802 -7.904
Mg -5.688 -3.860 -2.632
Mg -1.761 2.440 -4.886
Mg -4.971 -2.221 0.386
Mg -4.407 0.136 -5.053
Mg -3.042 -1.556 -2.465
Er -0.374 0.768 -2.293
Er -3.804 -3.179 -5.327
Er -7.075 -2.187 -5.225
Er -8.158 -1.114 0.618
Er -3.646 1.759 -2.191
Er 0.709 -0.306 -8.136
Pr -6.291 -0.514 -2.270
Pr -1.158 -0.906 -5.248
```

Calculated values
* crystal system: monoclinic
* total DFT energy (no corrections): -0.2443 Ry per atom
* energy relative to the elements: -0.20 kJ/mol of atoms

A geometry-optimized Pr2ErMg structure, computed with GGA-PBE.

```
4
Lattice="3.575 -0.003 -0.002 1.785 3.098 -0.002 1.781 1.028 11.590" Properties=species:S:1:pos:R:3 pbc="T T T"
Mg 3.570 2.061 5.798
Pr 1.786 1.031 2.932
Pr 1.781 1.029 8.663
Er 5.356 3.092 11.578
```

Calculated values
* crystal system: monoclinic
* total DFT energy (no corrections): -0.2856 Ry per atom
* energy relative to the elements: 4.17 kJ/mol of atoms

A geometry-optimized Pr2ErMg6 structure, computed with GGA-PBE.

```
9
Lattice="-0.128 -2.029 -2.646 -7.234 -4.316 3.659 -8.508 2.931 -1.836" Properties=species:S:1:pos:R:3 pbc="T T T"
Mg -10.948 0.497 -1.961
Mg -4.923 -3.910 1.137
Mg -5.778 0.956 -2.553
Mg -10.093 -4.370 1.729
Mg -8.154 -0.463 -1.354
Mg -7.717 -2.950 0.531
Pr -5.247 -0.461 0.608
Pr -10.624 -2.952 -1.431
Er 0.000 0.000 0.000
```

Calculated values
* crystal system: hexagonal
* total DFT energy (no corrections): -0.2000 Ry per atom
* energy relative to the elements: -8.57 kJ/mol of atoms

A geometry-optimized Pr6ErMg2 structure, computed with GGA-PBE.

```
18
Lattice="5.191 -0.253 -0.245 0.668 11.102 2.456 0.668 2.814 11.017" Properties=species:S:1:pos:R:3 pbc="T T T"
Mg 1.637 3.119 3.868
Mg 2.294 9.823 10.358
Mg 4.890 10.544 9.359
Mg 4.232 3.840 2.870
Er 4.561 8.877 4.374
Er 1.965 4.786 8.854
Pr 2.081 11.517 4.314
Pr 1.721 1.856 6.727
Pr 1.850 9.104 1.979
Pr 4.692 7.230 8.815
Pr 1.834 6.433 4.412
Pr 4.676 4.559 11.248
Pr 4.429 4.491 6.164
Pr 4.317 6.657 1.514
Pr 4.805 11.807 6.501
Pr 4.446 2.146 8.913
Pr 2.097 9.171 7.063
Pr 2.210 7.006 11.713
```

Calculated values
* crystal system: monoclinic
* total DFT energy (no corrections): -0.2911 Ry per atom
* energy relative to the elements: 8.46 kJ/mol of atoms

A geometry-optimized PrEr2Mg6 structure, computed with GGA-PBE.

```
9
Lattice="3.311 0.000 0.000 0.000 7.887 -4.554 0.000 0.000 9.107" Properties=species:S:1:pos:R:3 pbc="T T T"
Mg 1.656 5.223 3.015
Mg 1.656 0.000 6.031
Mg 1.656 2.664 1.538
Mg 1.656 5.223 6.092
Mg 1.656 2.664 -1.538
Mg 1.656 0.000 3.076
Er 3.311 5.258 0.000
Er 0.000 2.629 4.554
Pr 0.000 0.000 9.107
```

Calculated values
* crystal system: hexagonal
* total DFT energy (no corrections): -0.1970 Ry per atom
* energy relative to the elements: -7.03 kJ/mol of atoms

A geometry-optimized PrErMg4 structure, computed with GGA-PBE.

```
6
Lattice="5.267 0.000 0.000 2.633 5.630 -0.571 2.633 -1.188 5.536" Properties=species:S:1:pos:R:3 pbc="T T T"
Mg 2.633 2.237 0.218
Mg 7.900 4.473 2.716
Mg 7.900 2.205 4.747
Mg 2.633 -0.031 2.249
Er 0.000 0.000 0.000
Pr 5.267 2.221 2.482
```

Calculated values
* crystal system: orthorhombic
* total DFT energy (no corrections): -0.1980 Ry per atom
* energy relative to the elements: -7.15 kJ/mol of atoms

A geometry-optimized Pr7Er4Mg structure, computed with GGA-PBE.

```
12
Lattice="5.437 0.000 1.478 2.296 5.438 2.292 -0.653 -1.482 13.145" Properties=species:S:1:pos:R:3 pbc="T T T"
Er 4.394 3.357 5.313
Er 5.809 2.090 10.850
Er 2.685 0.599 11.601
Er 1.271 1.867 6.064
Mg 5.437 0.000 1.478
Pr 4.901 1.711 14.191
Pr 4.549 -0.077 4.745
Pr 3.516 3.703 8.546
Pr 2.179 2.245 2.724
Pr 2.531 4.033 12.169
Pr 3.564 0.253 8.368
Pr 2.065 -1.482 13.884
```

Calculated values
* crystal system: monoclinic
* total DFT energy (no corrections): -0.3123 Ry per atom
* energy relative to the elements: 18.67 kJ/mol of atoms